[1]
# HgPPb2 | Alexandria | PBEsol | optimized geometry
# E_form ... 329 meV/atom
data_HgPPb2
_chemical_formula_sum 'Hg4 P4 Pb8'
_cell_length_a 7.3024
_cell_length_b 7.3024
_cell_length_c 7.3024
_cell_angle_alpha 90.00
_cell_angle_beta 90.00
_cell_angle_gamma 90.00
_space_group_name_H-M_alt 'F -4 3 m'
_space_group_IT_number 216
_space_group_name_Hall 'F -4 2 3'
loop_
_atom_site_label
_atom_site_type_symbol
_atom_site_fract_x
_atom_site_fract_y
_atom_site_fract_z
Hg1 Hg 0.0000 0.0000 0.0000
P1 P 0.2500 0.2500 0.2500
Pb1 Pb 0.0000 0.0000 0.5000
Pb2 Pb 0.2500 0.2500 0.7500

[2]
# ZrBe2As | Alexandria | PBEsol | optimized geometry
# E_form ... -95 meV/atom
data_ZrBe2As
_chemical_formula_sum 'Zr2 Be4 As2'
_cell_length_a 3.6566
_cell_length_b 3.6566
_cell_length_c 8.6548
_cell_angle_alpha 90.00
_cell_angle_beta 90.00
_cell_angle_gamma 90.00
_space_group_name_H-M_alt 'I 4/m m m'
_space_group_IT_number 139
_space_group_name_Hall '-I 4 2'
loop_
_atom_site_label
_atom_site_type_symbol
_atom_site_fract_x
_atom_site_fract_y
_atom_site_fract_z
Zr1 Zr 0.0000 0.0000 0.0000
Be1 Be 0.0000 0.5000 0.2500
As1 As 0.0000 0.0000 0.5000

[3]
# K2LaFe | Alexandria | PBEsol | optimized geometry
# E_form ... 928 meV/atom
data_K2LaFe
_chemical_formula_sum 'K2 La1 Fe1'
_cell_length_a 3.9989
_cell_length_b 6.7312
_cell_length_c 4.8664
_cell_angle_alpha 90.00
_cell_angle_beta 95.61
_cell_angle_gamma 90.00
_space_group_name_H-M_alt 'P 1 2/m 1'
_space_group_IT_number 10
loop_
_space_group_symop_operation_xyz
'x,y,z'
'-x,-y,-z'
'-x,y,-z'
'x,-y,z'
loop_
_atom_site_label
_atom_site_type_symbol
_atom_site_fract_x
_atom_site_fract_y
_atom_site_fract_z
K1 K 0.2280 0.0000 0.2696
La1 La 0.5000 0.5000 0.0000
Fe1 Fe 0.0000 0.5000 0.5000

[4]
# YH2Os

A relaxed structure of YH2Os (PBEsol, Alexandria).

Structure (CIF):
```
data_YH2Os
_chemical_formula_sum 'Y4 H8 Os4'
_cell_length_a 5.6355
_cell_length_b 5.6355
_cell_length_c 5.6355
_cell_angle_alpha 90.00
_cell_angle_beta 90.00
_cell_angle_gamma 90.00
_space_group_name_H-M_alt 'F m -3 m'
_space_group_IT_number 225
_space_group_name_Hall '-F 4 2 3'
loop_
_atom_site_label
_atom_site_type_symbol
_atom_site_fract_x
_atom_site_fract_y
_atom_site_fract_z
Y1 Y 0.0000 0.0000 0.0000
H1 H 0.2500 0.2500 0.2500
Os1 Os 0.0000 0.0000 0.5000
```

[5]
# As5Ir4 | Alexandria | PBEsol | optimized geometry
# E_form ... 391 meV/atom
data_As5Ir4
_chemical_formula_sum 'As10 Ir8'
_cell_length_a 8.3918
_cell_length_b 8.3918
_cell_length_c 4.0064
_cell_angle_alpha 90.00
_cell_angle_beta 90.00
_cell_angle_gamma 90.00
_space_group_name_H-M_alt 'I 4/m m m'
_space_group_IT_number 139
_space_group_name_Hall '-I 4 2'
loop_
_atom_site_label
_atom_site_type_symbol
_atom_site_fract_x
_atom_site_fract_y
_atom_site_fract_z
As1 As 0.0000 0.0000 0.0000
As2 As 0.1736 0.1736 0.5000
Ir1 Ir 0.0000 0.3390 0.0000

[6]
# Cu2TcMo | Alexandria | PBEsol | optimized geometry
# E_form ... 208 meV/atom
data_Cu2TcMo
_chemical_formula_sum 'Cu4 Tc2 Mo2'
_cell_length_a 5.0278
_cell_length_b 8.1847
_cell_length_c 2.5261
_cell_angle_alpha 90.00
_cell_angle_beta 90.00
_cell_angle_gamma 90.00
_space_group_name_H-M_alt 'C m m m'
_space_group_IT_number 65
_space_group_name_Hall '-C 2 2'
loop_
_atom_site_label
_atom_site_type_symbol
_atom_site_fract_x
_atom_site_fract_y
_atom_site_fract_z
Cu1 Cu 0.2500 0.2500 0.0000
Tc1 Tc 0.0000 0.0000 0.5000
Mo1 Mo 0.0000 0.5000 0.5000

[7]
# Be2ZnRh | Alexandria | PBEsol | optimized geometry
# E_form ... -359 meV/atom
data_Be2ZnRh
_chemical_formula_sum 'Be2 Zn1 Rh1'
_cell_length_a 3.8309
_cell_length_b 3.8309
_cell_length_c 2.8565
_cell_angle_alpha 90.00
_cell_angle_beta 90.00
_cell_angle_gamma 90.00
_space_group_name_H-M_alt 'P 4/m m m'
_space_group_IT_number 123
_space_group_name_Hall '-P 4 2'
loop_
_atom_site_label
_atom_site_type_symbol
_atom_site_fract_x
_atom_site_fract_y
_atom_site_fract_z
Be1 Be 0.0000 0.5000 0.0000
Zn1 Zn 0.0000 0.0000 0.5000
Rh1 Rh 0.5000 0.5000 0.5000

[8]
# TlTe2N2 | Alexandria | PBEsol | optimized geometry
# Formation energy from raw total energies ... 809 kJ/mol of formula units
data_TlTe2N2
_chemical_formula_sum 'Tl1 Te2 N2'
_cell_length_a 4.3831
_cell_length_b 4.3831
_cell_length_c 6.2513
_cell_angle_alpha 90.00
_cell_angle_beta 90.00
_cell_angle_gamma 90.00
_space_group_name_H-M_alt 'P 4/m m m'
_space_group_IT_number 123
_space_group_name_Hall '-P 4 2'
loop_
_atom_site_label
_atom_site_type_symbol
_atom_site_fract_x
_atom_site_fract_y
_atom_site_fract_z
Tl1 Tl 0.0000 0.0000 0.0000
Te1 Te 0.0000 0.0000 0.5000
Te2 Te 0.5000 0.5000 0.5000
N1 N 0.0000 0.5000 0.0000

[9]
# Na2P2Pt | Alexandria | PBEsol | optimized geometry
# E_form ... -559 meV/atom
data_Na2P2Pt
_chemical_formula_sum 'Na4 P4 Pt2'
_cell_length_a 6.0417
_cell_length_b 6.0417
_cell_length_c 4.7699
_cell_angle_alpha 90.00
_cell_angle_beta 90.00
_cell_angle_gamma 90.00
_space_group_name_H-M_alt 'P 4/m b m'
_space_group_IT_number 127
_space_group_name_Hall '-P 4 2ab'
loop_
_atom_site_label
_atom_site_type_symbol
_atom_site_fract_x
_atom_site_fract_y
_atom_site_fract_z
Na1 Na 0.1786 0.3214 0.0000
P1 P 0.1312 0.6312 0.5000
Pt1 Pt 0.0000 0.0000 0.5000

[10]
# LiZrPb2 | Alexandria | PBEsol | optimized geometry
# E_form ... -176 meV/atom
data_LiZrPb2
_chemical_formula_sum 'Li1 Zr1 Pb2'
_cell_length_a 4.7137
_cell_length_b 4.7137
_cell_length_c 4.0320
_cell_angle_alpha 90.00
_cell_angle_beta 90.00
_cell_angle_gamma 90.00
_space_group_name_H-M_alt 'P 4/m m m'
_space_group_IT_number 123
_space_group_name_Hall '-P 4 2'
loop_
_atom_site_label
_atom_site_type_symbol
_atom_site_fract_x
_atom_site_fract_y
_atom_site_fract_z
Li1 Li 0.0000 0.0000 0.0000
Zr1 Zr 0.5000 0.5000 0.0000
Pb1 Pb 0.0000 0.5000 0.5000

[11]
# KLaY2 | Alexandria | PBEsol | optimized geometry
# E_form ... 535 meV/atom
data_KLaY2
_chemical_formula_sum 'K4 La4 Y8'
_cell_length_a 8.2970
_cell_length_b 8.2970
_cell_length_c 8.2970
_cell_angle_alpha 90.00
_cell_angle_beta 90.00
_cell_angle_gamma 90.00
_space_group_name_H-M_alt 'F m -3 m'
_space_group_IT_number 225
_space_group_name_Hall '-F 4 2 3'
loop_
_atom_site_label
_atom_site_type_symbol
_atom_site_fract_x
_atom_site_fract_y
_atom_site_fract_z
K1 K 0.0000 0.0000 0.0000
La1 La 0.0000 0.0000 0.5000
Y1 Y 0.2500 0.2500 0.2500

[12]
# NiSnSb2N | Alexandria | PBEsol | optimized geometry
# Formation energy from raw total energies ... 542 kJ/mol of formula units
data_NiSnSb2N
_chemical_formula_sum 'Ni1 Sn1 Sb2 N1'
_cell_length_a 4.7996
_cell_length_b 4.7996
_cell_length_c 4.7556
_cell_angle_alpha 90.00
_cell_angle_beta 90.00
_cell_angle_gamma 90.00
_space_group_name_H-M_alt 'P 4/m m m'
_space_group_IT_number 123
_space_group_name_Hall '-P 4 2'
loop_
_atom_site_label
_atom_site_type_symbol
_atom_site_fract_x
_atom_site_fract_y
_atom_site_fract_z
Ni1 Ni 0.0000 0.0000 0.0000
Sn1 Sn 0.0000 0.0000 0.5000
Sb1 Sb 0.0000 0.5000 0.0000
N1 N 0.5000 0.5000 0.5000

Number 1: total DFT energy (no corrections) -3.26 eV per atom. Number 2: total DFT energy (no corrections) -5.64 eV per atom. Number 3: total DFT energy (no corrections) -3.22 eV per atom. Number 4: total DFT energy (no corrections) -6.08 eV per atom. Number 5: total DFT energy (no corrections) -6.81 eV per atom. Number 6: total DFT energy (no corrections) -7.72 eV per atom. Number 7: total DFT energy (no corrections) -4.79 eV per atom. Number 8: total DFT energy (no corrections) -3.67 eV per atom. Number 9: total DFT energy (no corrections) -4.83 eV per atom. Number 10: total DFT energy (no corrections) -4.94 eV per atom. Number 11: total DFT energy (no corrections) -4.50 eV per atom. Number 12: total DFT energy (no corrections) -4.49 eV per atom.